## V3P2O8 (PBE+U)

Data for a relaxed structure of V3P2O8.

Unit cell a=5.2586 b=8.6673 c=9.4330 alpha=90.00 beta=123.80 gamma=90.00
Fractional positions:
V (0.0000, 0.0000, 0.0000)
V (0.0000, 0.5000, 0.5000)
V (0.2234, 0.1432, 0.6141)
V (0.2234, 0.3568, 0.1141)
V (0.7766, 0.6432, 0.8859)
V (0.7766, 0.8568, 0.3859)
P (0.2652, 0.6955, 0.2980)
P (0.2652, 0.8045, 0.7980)
P (0.7348, 0.1955, 0.2020)
P (0.7348, 0.3045, 0.7020)
O (0.0795, 0.6956, 0.3795)
O (0.0795, 0.8044, 0.8795)
O (0.1166, 0.5837, 0.1436)
O (0.1166, 0.9163, 0.6436)
O (0.2842, 0.6384, 0.7382)
O (0.2842, 0.8616, 0.2382)
O (0.3955, 0.1484, 0.0699)
O (0.3955, 0.3516, 0.5699)
O (0.6045, 0.6484, 0.4301)
O (0.6045, 0.8516, 0.9301)
O (0.7158, 0.1384, 0.7618)
O (0.7158, 0.3616, 0.2618)
O (0.8834, 0.0837, 0.3564)
O (0.8834, 0.4163, 0.8564)
O (0.9205, 0.1956, 0.1205)
O (0.9205, 0.3044, 0.6205)

Results
Theoretical density in Mg/m³: 3.19
Space-group type: No. 14
DFT total energy in hartree per atom: -0.2813